# 1
A relaxed PaTiInTc crystal. Source: Alexandria via LeMat-Bulk, functional PBE.

Computed properties:
* size of the total moment: 0.1135 μB per atom
* energy of formation from the pure elements: -0.121 eV/atom
* Fermi-level density of states: 16.0 states/eV/cell
* density: 10.72 Mg/m³

Cell: 6.7294 6.7294 6.7294 Å, 90.00 90.00 90.00°
With the nearest neighbours (Å) after each atom.
Space group F-43m (No. 216)
Symmetry-distinct sites (fractional):
Pa 0.0000 0.0000 0.0000 x4  4 Tc 2.91, 4 Ti 2.91
Ti 0.2500 0.2500 0.7500 x4  4 Pa 2.91, 4 In 2.91
In 0.0000 0.0000 0.5000 x4  4 Ti 2.91, 4 Tc 2.91
Tc 0.2500 0.2500 0.2500 x4  4 In 2.91, 4 Pa 2.91

***

# 2
A relaxed In5Ag crystal. Source: Alexandria via LeMat-Bulk, functional PBE.

Computed properties:
* polymorph energy (0 for the lowest one): 0.032 eV per atom
* size of the total moment: 0.0000 μB per atom
* energy of formation from the pure elements: 0.044 eV/atom
* Fermi-level density of states: 5.6 states/eV/cell
* density: 7.51 Mg/m³

Cell: 13.6960 3.4146 6.7363 Å, 90.00 106.93 90.00°
With the nearest neighbours (Å) after each atom.
Space group Cm (No. 8)
Symmetry-distinct sites (fractional):
In 0.0000 0.0000 0.0000 x2  2 Ag 3.16, 9 In 3.18-3.43
In 0.0030 0.0000 0.4753 x2  2 Ag 3.13, 9 In 3.19-3.45
In 0.1771 0.5000 0.8278 x2  2 Ag 3.13, 9 In 3.20-3.43
In 0.1832 0.5000 0.3069 x2  2 Ag 3.16, 10 In 3.18-3.53
In 0.3412 0.0000 0.6542 x2  10 In 3.18-3.41, 2 Ag 3.35-3.39
Ag 0.3404 0.0000 0.1505 x2  10 In 3.13-3.39, 2 Ag 3.41

***

# 3
A relaxed Hf2TiSb crystal. Source: Alexandria via LeMat-Bulk, functional PBE.

Computed properties:
* size of the total moment: 0.0000 μB per atom
* Fermi-level density of states: 24.4 states/eV/cell
* density: 10.27 Mg/m³
* E_form (uncorrected): -0.355 eV per atom

Cell: 10.9921 10.9921 5.6388 Å, 90.00 90.00 90.00°
With the nearest neighbours (Å) after each atom.
Space group I-4 (No. 82)
Symmetry-distinct sites (fractional):
Hf 0.0320 0.1472 0.2709 x8  4 Sb 2.88-2.93, 3 Ti 3.03-3.22, 1 Hf 3.12
Hf 0.0812 0.6094 0.4487 x8  2 Sb 2.86-3.01, 1 Ti 2.93, 4 Hf 3.00-3.12
Ti 0.1797 0.7159 0.0137 x8  3 Sb 2.78-2.94, 2 Hf 2.93-3.03
Sb 0.0417 0.2118 0.7734 x8  3 Ti 2.78-2.94, 6 Hf 2.86-3.01

***

# 4
A relaxed ScAg3H crystal. Source: Alexandria via LeMat-Bulk, functional PBE.

Computed properties:
* polymorph energy (0 for the lowest one): 1.140 eV per atom
* size of the total moment: 0.2001 μB per atom
* Fermi-level density of states: 1.4 states/eV/cell
* density: 3.85 Mg/m³

Cell: 5.4206 5.4206 5.4206 Å, 90.00 90.00 90.00°
With the nearest neighbours (Å) after each atom.
Space group Pm-3m (No. 221)
Symmetry-distinct sites (fractional):
Sc 0.0000 0.0000 0.0000 x1  6 Ag 2.71
Ag 0.0000 0.0000 0.5000 x3  2 Sc 2.71
H 0.5000 0.5000 0.5000 x1  12 Ag 3.83